Compound: NaPaGe
Source: Alexandria via LeMat-Bulk
Functional: PBE-GGA
Structure: optimized geometry

Unit cell a=6.0492 b=7.4763 c=13.9472 alpha=90.00 beta=90.00 gamma=90.00
Space group Fmmm (No. 69)
Symmetry-distinct sites (fractional):
1 Na 0.0000 0.1824 0.0000 (multiplicity 8)
2 Pa 0.2500 0.2500 0.2500 (multiplicity 8)
3 Ge 0.0000 0.0000 0.3731 (multiplicity 8)

## Properties
Total moment (μB per formula unit): 1.1
Calculated density (g/cm³): 6.880
E_form (eV/atom): 0.10

Compound: NaPaGe4
Source: Alexandria via LeMat-Bulk
Functional: PBE-GGA
Structure: optimized geometry

Unit cell a=7.8501 b=7.8501 c=7.8501 alpha=90.00 beta=90.00 gamma=90.00
Space group F-43m (No. 216)
Symmetry-distinct sites (fractional):
1 Na 0.0000 0.0000 0.0000 (multiplicity 4)
2 Pa 0.2500 0.2500 0.2500 (multiplicity 4)
3 Ge 0.1246 0.1246 0.6246 (multiplicity 16)

## Properties
Total moment (μB per formula unit): 0.0
Calculated density (g/cm³): 7.478
E_form (eV/atom): -0.02

Compound: NaPaGe2
Source: Alexandria via LeMat-Bulk
Functional: PBE-GGA
Structure: optimized geometry

Unit cell a=5.3427 b=5.3427 c=3.0080 alpha=90.00 beta=90.00 gamma=90.00
Space group P4/mmm (No. 123)
Symmetry-distinct sites (fractional):
1 Na 0.0000 0.0000 0.0000 (multiplicity 1)
2 Pa 0.5000 0.5000 0.0000 (multiplicity 1)
3 Ge 0.0000 0.5000 0.5000 (multiplicity 2)

## Properties
Total moment (μB per formula unit): 0.0
Energy above the lowest structure with this stoichiometry (eV per atom): 0.0000
Calculated density (g/cm³): 7.723
E_form (eV/atom): -0.26

Compound: NaPaGe2
Source: Alexandria via LeMat-Bulk
Functional: PBE-GGA
Structure: optimized geometry

Unit cell a=4.5642 b=4.5642 c=23.6557 alpha=90.00 beta=90.00 gamma=120.00
Space group R-3m (No. 166, hexagonal axes)
Symmetry-distinct sites (fractional):
1 Na 0.0000 0.0000 0.0000 (multiplicity 3)
2 Pa 0.0000 0.0000 0.5000 (multiplicity 3)
3 Ge 0.0000 0.0000 0.1208 (multiplicity 6)

## Properties
Total moment (μB per formula unit): 0.8
Energy above the lowest structure with this stoichiometry (eV per atom): 0.5392
Calculated density (g/cm³): 4.661
E_form (eV/atom): 0.28

Compound: Na2PaGe3Pt4
Source: Alexandria via LeMat-Bulk
Functional: PBE-GGA
Structure: optimized geometry

Unit cell a=4.4247 b=4.4247 c=10.6102 alpha=90.00 beta=90.00 gamma=90.00
Space group P-4m2 (No. 115)
Symmetry-distinct sites (fractional):
1 Na 0.0000 0.5000 0.2223 (multiplicity 2)
2 Pa 0.0000 0.0000 0.5000 (multiplicity 1)
3 Ge 0.0000 0.5000 0.8839 (multiplicity 2)
4 Ge 0.5000 0.5000 0.5000 (multiplicity 1)
5 Pt 0.0000 0.0000 0.0000 (multiplicity 1)
6 Pt 0.0000 0.5000 0.6529 (multiplicity 2)
7 Pt 0.5000 0.5000 0.0000 (multiplicity 1)

## Properties
Total moment (μB per formula unit): 0.0
Calculated density (g/cm³): 10.194
E_form (eV/atom): -0.51

Compound: Na2PaGeS4
Source: Alexandria via LeMat-Bulk
Functional: PBE-GGA
Structure: optimized geometry

Unit cell a=6.9703 b=3.9749 c=6.9744 alpha=90.00 beta=108.71 gamma=90.00
Space group P2/m (No. 10)
Symmetry-distinct sites (fractional):
1 Na 0.0000 0.0000 0.0000 (multiplicity 1)
2 Na 0.0000 0.5000 0.5000 (multiplicity 1)
3 Pa 0.5000 0.0000 0.5000 (multiplicity 1)
4 Ge 0.5000 0.5000 0.0000 (multiplicity 1)
5 S 0.2739 0.5000 0.2576 (multiplicity 2)
6 S 0.2785 0.0000 0.7524 (multiplicity 2)

## Properties
Formation energy (no corrections) (eV/atom): -1.144
Total moment (μB per formula unit): 1.0
Calculated density (g/cm³): 4.336

Compound: Na3PaGe2Se6
Source: Alexandria via LeMat-Bulk
Functional: PBE-GGA
Structure: optimized geometry

Unit cell a=7.1729 b=12.4270 c=7.2547 alpha=90.00 beta=109.22 gamma=90.00
Space group C2/m (No. 12)
Symmetry-distinct sites (fractional):
1 Na 0.0000 0.0000 0.0000 (multiplicity 2)
2 Na 0.0000 0.3287 0.0000 (multiplicity 4)
3 Pa 0.0000 0.5000 0.5000 (multiplicity 2)
4 Ge 0.0000 0.1654 0.5000 (multiplicity 4)
5 Se 0.2375 0.3369 0.7225 (multiplicity 8)
6 Se 0.2474 0.0000 0.7221 (multiplicity 4)

## Properties
Formation energy (no corrections) (eV/atom): -0.966
Total moment (μB per formula unit): 0.0
Calculated density (g/cm³): 4.999

Compound: Na2GePb
Source: Alexandria via LeMat-Bulk
Functional: PBE-GGA
Structure: optimized geometry

Unit cell a=8.8131 b=8.8131 c=5.8510 alpha=90.00 beta=90.00 gamma=90.00
Space group I-42d (No. 122)
Symmetry-distinct sites (fractional):
1 Na 0.2138 0.2500 0.1250 (multiplicity 8)
2 Ge 0.0000 0.0000 0.0000 (multiplicity 4)
3 Pb 0.0000 0.0000 0.5000 (multiplicity 4)

## Properties
Total moment (μB per formula unit): 0.0
Energy above the lowest structure with this stoichiometry (eV per atom): 0.2121
Calculated density (g/cm³): 4.762
E_form (eV/atom): 0.15

Copy entry 2 word for word.
Compound: NaPaGe4
Source: Alexandria via LeMat-Bulk
Functional: PBE-GGA
Structure: optimized geometry

Unit cell a=7.8501 b=7.8501 c=7.8501 alpha=90.00 beta=90.00 gamma=90.00
Space group F-43m (No. 216)
Symmetry-distinct sites (fractional):
1 Na 0.0000 0.0000 0.0000 (multiplicity 4)
2 Pa 0.2500 0.2500 0.2500 (multiplicity 4)
3 Ge 0.1246 0.1246 0.6246 (multiplicity 16)

## Properties
Total moment (μB per formula unit): 0.0
Calculated density (g/cm³): 7.478
E_form (eV/atom): -0.02